Here is crystalline LiNiPO4 at its relaxed geometry from the Alexandria database. Energies are from GGA+U.

Structure (extended XYZ):
```
28
Lattice="-4.075 -2.194 -1.485 2.105 -3.580 2.524 -7.708 -0.127 11.839" Properties=species:S:1:pos:R:3 pbc="T T T"
Li -8.591 -1.484 11.844
Li -5.723 -4.305 6.446
Li -3.955 -1.596 6.432
Li -1.087 -4.417 1.034
Ni -2.422 -1.475 3.218
Ni -3.407 -4.362 3.737
Ni -6.271 -1.539 9.140
Ni -7.256 -4.426 9.660
P -4.204 -3.276 8.855
P -6.234 -3.383 11.949
P -3.444 -2.518 0.929
P -5.474 -2.625 4.022
O -4.367 -1.883 9.590
O -3.608 -1.125 1.663
O -6.070 -4.776 11.215
O -5.311 -4.018 3.288
O -8.835 -5.186 10.842
O -4.113 -5.318 5.485
O -5.565 -0.583 7.393
O -0.843 -0.714 2.036
O -6.978 -2.496 10.886
O -4.000 -2.236 4.399
O -5.679 -3.664 8.478
O -2.700 -3.405 1.991
O -3.357 -3.134 7.598
O -2.596 -2.376 -0.327
O -7.082 -3.524 13.205
O -6.321 -2.767 5.280
```

Polymorph energy (0 for the lowest one) ... 0.0640 eV per atom
Total magnetic moment ... 8.0 Bohr magnetons per cell
Space-group type ... No. 12



Here is crystalline LiNiPO4 at its relaxed geometry from the Alexandria database. Energies are from GGA+U.

Structure (extended XYZ):
```
28
Lattice="5.490 0.001 0.007 1.505 6.057 0.004 1.466 2.134 8.918" Properties=species:S:1:pos:R:3 pbc="T T T"
Li 5.780 4.099 8.206
Li 2.681 4.092 0.724
Li 2.918 4.495 6.663
Li 5.543 3.696 2.266
Ni 4.159 0.843 1.917
Ni 5.359 2.249 5.232
Ni 4.302 7.348 7.012
Ni 3.102 5.942 3.698
P 7.070 7.010 8.243
P 1.391 1.181 0.687
P 5.596 5.402 4.889
P 2.865 2.790 4.041
O 5.736 6.208 8.038
O 2.726 1.983 0.892
O 2.840 6.144 7.883
O 5.621 2.047 1.047
O 2.730 2.955 8.107
O 5.731 5.237 0.823
O 5.561 2.211 7.333
O 2.901 5.980 1.597
O 6.822 6.338 5.028
O 1.639 1.854 3.901
O 4.282 5.920 5.581
O 4.179 2.271 3.348
O 6.005 4.072 5.511
O 2.456 4.119 3.419
O 3.297 2.847 5.552
O 5.164 5.345 3.378
```

Polymorph energy (0 for the lowest one) ... 0.0592 eV per atom
Total magnetic moment ... 8.0 Bohr magnetons per cell
Space-group type ... No. 2



Here is crystalline LiNiPO4 at its relaxed geometry from the Alexandria database. Energies are from GGA+U.

Structure (extended XYZ):
```
14
Lattice="-4.880 -1.233 0.113 2.176 -1.401 -4.318 1.441 -5.473 2.501" Properties=species:S:1:pos:R:3 pbc="T T T"
Li -1.352 -1.317 -2.103
Li -0.631 -4.054 -0.852
Ni -3.280 -2.631 -0.040
Ni 2.018 -5.476 -1.664
P -2.804 -5.362 1.364
P 1.542 -2.745 -3.068
O 0.670 -4.688 0.838
O -0.416 -1.942 -0.183
O -2.317 -4.280 0.374
O 0.476 -1.627 -3.083
O -1.738 -6.480 1.379
O 1.055 -3.827 -2.078
O -1.933 -3.420 -2.542
O -0.846 -6.165 -1.521
```

Polymorph energy (0 for the lowest one) ... 0.1001 eV per atom
Total magnetic moment ... 4.0 Bohr magnetons per cell
Space-group type ... No. 63